An optimized crystal structure of La2SiPd. Source: Alexandria, functional PBE-GGA.

Computed properties:
- Crystal system: tetragonal
- Spin magnetization: 0.0 μB per cell
- Calculated total energy: -5.7579 eV per atom

The structure in CIF format:
```
data_La2SiPd
_space_group_name_H-M_alt 'P 4/m m m'
_space_group_IT_number 123
_space_group_name_Hall '-P 4 2'
_cell_length_a 3.627
_cell_length_b 3.627
_cell_length_c 7.635
_cell_angle_alpha 90.00
_cell_angle_beta 90.00
_cell_angle_gamma 90.00
loop_
_atom_site_label
_atom_site_fract_x
_atom_site_fract_y
_atom_site_fract_z
_atom_site_occupancy
La1 0.000 0.000 0.250 1
Si1 0.500 0.500 0.000 1
Pd1 0.500 0.500 0.500 1
```